! PBE CuAu2C, relaxed; values from VASP
! Uncorrected energy   -30.8 eV for the cell shown
! Symmetry   No. 122
! ΔH_f (0 K)   433 kJ/mol of formula units
&SYSTEM
  ibrav = 0, nat = 8, ntyp = 3
/
ATOMIC_SPECIES
Cu 63.55 Cu.upf
Au 196.97 Au.upf
C 12.01 C.upf
ATOMIC_POSITIONS angstrom
Cu 0.000 0.000 0.000
Cu 0.000 2.618 2.718
Au 1.309 -0.831 4.076
Au 1.788 1.309 1.359
Au 1.309 3.449 -1.359
Au 0.831 1.309 6.794
C 2.618 0.000 2.718
C 0.000 0.000 5.435
CELL_PARAMETERS angstrom
-2.618 2.618 5.435
2.618 -2.618 5.435
2.618 2.618 -5.435